Record 1
! Na2AgPd, relaxed, DFT PBE; values from VASP
&SYSTEM
  ibrav = 0, nat = 4, ntyp = 3
/
ATOMIC_SPECIES
Pd 106.42 Pd.upf
Ag 107.87 Ag.upf
Na 22.99 Na.upf
ATOMIC_POSITIONS angstrom
Pd -1.7291 -2.2113 -2.0748
Ag 1.3871 -5.8576 -0.7879
Na 3.8988 -6.6794 0.9297
Na 0.6067 -2.8272 -0.4298
CELL_PARAMETERS angstrom
-2.2051 -2.0276 -0.4057
-0.3895 -1.2882 -2.7069
5.3702 -8.4012 1.5374
! Calculated formation energy   0.02 eV per atom

---

Record 2
! Sc3Si4Ni4, relaxed, DFT PBE; values from VASP
&SYSTEM
  ibrav = 0, nat = 11, ntyp = 3
/
ATOMIC_SPECIES
Ni 58.69 Ni.upf
Sc 44.96 Sc.upf
Si 28.09 Si.upf
ATOMIC_POSITIONS angstrom
Ni -1.7906 -0.2314 -6.5924
Ni -1.2271 -1.9071 0.0347
Ni -3.1160 -0.1194 -2.9364
Ni 0.0983 -2.0191 -3.6213
Sc 0.2648 -0.3794 -11.4876
Sc 0.0371 -0.0531 -1.6087
Sc -3.1820 -0.0248 -0.0725
Si -1.9839 -1.8400 2.2156
Si -1.8826 -1.9851 -2.1784
Si -1.0338 -0.2985 -8.7733
Si -1.1351 -0.1533 -4.3793
CELL_PARAMETERS angstrom
-3.0444 1.6564 -6.6836
3.3462 -2.0889 -6.4126
-3.3195 -1.7059 6.5386
! E_form (uncorrected)   -7.7 eV per formula unit

---

Record 3
! TaTc2Te, relaxed, DFT PBE; values from VASP
&SYSTEM
  ibrav = 0, nat = 4, ntyp = 3
/
ATOMIC_SPECIES
Tc 98.00 Tc.upf
Ta 180.95 Ta.upf
Te 127.60 Te.upf
ATOMIC_POSITIONS angstrom
Tc 12.1657 2.2842 1.3498
Tc 0.0916 0.0172 0.0102
Ta 18.3859 3.4521 2.0399
Te 6.1286 1.1507 0.6800
CELL_PARAMETERS angstrom
8.5574 0.0110 0.0065
7.9786 3.0937 0.0065
7.9786 1.4981 2.7069
! E_form (uncorrected)   0.9 eV per formula unit

---

Record 4
! LaPuPb, relaxed, DFT PBE; values from VASP
&SYSTEM
  ibrav = 0, nat = 12, ntyp = 3
/
ATOMIC_SPECIES
Pb 207.20 Pb.upf
La 138.91 La.upf
Pu 244.00 Pu.upf
ATOMIC_POSITIONS angstrom
Pb 0.0000 3.4844 5.5820
Pb 2.7637 0.0000 3.9840
Pb 2.7637 3.4844 0.7995
Pb 0.0000 0.0000 8.7665
La 2.7637 5.2265 7.1742
La 0.0000 5.2267 2.3918
La 0.0000 1.7421 2.3918
La 2.7637 1.7423 7.1742
Pu 2.7637 3.4844 3.9889
Pu 2.7637 0.0000 0.7942
Pu 0.0000 0.0000 5.5772
Pu 0.0000 3.4844 8.7718
CELL_PARAMETERS angstrom
5.5273 0.0000 0.0000
0.0000 6.9688 0.0000
0.0000 0.0000 9.5660
! Calculated formation energy   -0.23 eV per atom
! E above lowest polymorph   89 meV per atom

---

Record 5
! TeAuF, relaxed, DFT PBE; values from VASP
&SYSTEM
  ibrav = 0, nat = 6, ntyp = 3
/
ATOMIC_SPECIES
Au 196.97 Au.upf
Te 127.60 Te.upf
F 19.00 F.upf
ATOMIC_POSITIONS angstrom
Au 2.8409 1.1547 0.9458
Au 8.5226 2.9996 4.8138
Te 5.6817 2.9674 4.9143
Te 5.6817 1.1870 0.8453
F 5.6817 0.6110 3.6396
F 5.6817 3.5433 2.1200
CELL_PARAMETERS angstrom
5.6817 0.0000 0.0000
2.8409 3.9994 -0.2338
2.8409 0.1549 5.9934
! E_form (uncorrected)   -2.1 eV per formula unit

---

Record 6
! TcAs4Ru, relaxed, DFT PBE; values from VASP
&SYSTEM
  ibrav = 0, nat = 6, ntyp = 3
/
ATOMIC_SPECIES
Tc 98.00 Tc.upf
As 74.92 As.upf
Ru 101.07 Ru.upf
ATOMIC_POSITIONS angstrom
Tc 0.0000 0.0000 0.0000
As 1.2077 0.6136 7.0654
As 3.6414 1.0542 6.1142
As 1.8894 3.0381 6.2414
As 1.5548 1.0858 4.4811
Ru 3.1100 2.1718 8.9633
CELL_PARAMETERS angstrom
4.1718 -0.0633 3.2650
0.6689 3.9032 3.5193
-0.6940 -0.9441 5.1667
! Calculated formation energy   0.98 eV per atom
! E above lowest polymorph   1246 meV per atom

---

Record 7
! Ta2TlPt, relaxed, DFT PBE; values from VASP
&SYSTEM
  ibrav = 0, nat = 4, ntyp = 3
/
ATOMIC_SPECIES
Tl 204.38 Tl.upf
Pt 195.08 Pt.upf
Ta 180.95 Ta.upf
ATOMIC_POSITIONS angstrom
Tl 0.0000 0.0000 3.1358
Pt 1.7361 1.7361 4.7180
Ta 0.0000 0.0000 0.0010
Ta 1.7361 1.7361 1.4431
CELL_PARAMETERS angstrom
3.4723 0.0000 0.0000
0.0000 3.4723 0.0000
0.0000 0.0000 6.1986
! Calculated formation energy   0.07 eV per atom
! E above lowest polymorph   58 meV per atom

---

Record 8
! ReSb4Br, relaxed, DFT PBE; values from VASP
&SYSTEM
  ibrav = 0, nat = 6, ntyp = 3
/
ATOMIC_SPECIES
Sb 121.76 Sb.upf
Re 186.21 Re.upf
Br 79.90 Br.upf
ATOMIC_POSITIONS angstrom
Sb 5.4547 3.3126 5.4547
Sb 5.4547 5.4547 3.3126
Sb 3.3126 5.4547 5.4547
Sb 3.3126 3.3126 3.3126
Re 0.0000 0.0000 0.0000
Br 6.5755 6.5755 6.5755
CELL_PARAMETERS angstrom
0.0000 4.3837 4.3837
4.3837 0.0000 4.3837
4.3837 4.3837 0.0000
! E_form (uncorrected)   6.4 eV per formula unit

---

Record 9
! AcPm2Ni, relaxed, DFT PBE; values from VASP
&SYSTEM
  ibrav = 0, nat = 4, ntyp = 3
/
ATOMIC_SPECIES
Ni 58.69 Ni.upf
Pm 145.00 Pm.upf
Ac 227.00 Ac.upf
ATOMIC_POSITIONS angstrom
Ni 4.0066 2.3132 0.0296
Pm 2.0033 1.1566 1.5604
Pm 2.0033 1.1566 7.8436
Ac 4.0066 2.3132 4.6430
CELL_PARAMETERS angstrom
4.0066 0.0000 0.0000
2.0033 3.4698 0.0000
2.0033 1.1566 9.3844
! Calculated formation energy   -0.09 eV per atom
! E above lowest polymorph   74 meV per atom

---

Record 10
! InCu4Si, relaxed, DFT PBE; values from VASP
&SYSTEM
  ibrav = 0, nat = 6, ntyp = 3
/
ATOMIC_SPECIES
Si 28.09 Si.upf
Cu 63.55 Cu.upf
In 114.82 In.upf
ATOMIC_POSITIONS angstrom
Si 0.0000 0.0000 0.0000
Cu 4.7859 -2.0163 2.4403
Cu 3.0055 -3.2296 3.6691
Cu 5.1950 -2.8074 4.7552
Cu 3.6307 -0.9267 4.3456
In 2.0771 -1.1225 1.9013
CELL_PARAMETERS angstrom
4.3699 0.8426 2.1676
0.8165 -1.5790 4.6201
3.1221 -3.7536 0.8174
! E_form (uncorrected)   0.8 eV per formula unit

---

Record 11
! Tb3Sm3DySe8, relaxed, DFT PBE; values from VASP
&SYSTEM
  ibrav = 0, nat = 15, ntyp = 4
/
ATOMIC_SPECIES
Se 78.96 Se.upf
Dy 162.50 Dy.upf
Sm 150.36 Sm.upf
Tb 158.93 Tb.upf
ATOMIC_POSITIONS angstrom
Se -1.1522 -0.4806 6.3632
Se -4.7911 -4.1145 1.4871
Se -2.5683 2.2435 3.6995
Se -4.6504 -1.2442 4.3442
Se -1.3247 -3.3873 3.4812
Se 0.8981 2.9707 5.6936
Se 0.7575 0.1003 2.8365
Se -2.7408 -0.6632 0.8175
Dy -3.3823 2.1830 0.8951
Sm 0.0000 0.0000 0.0000
Sm 1.4358 -2.7549 2.6952
Sm 3.5077 0.7326 2.0186
Tb 0.1254 2.9156 2.9137
Tb -5.4542 -1.3046 1.5717
Tb -1.9465 -0.5719 3.5903
CELL_PARAMETERS angstrom
-4.1437 -6.9751 1.3532
7.0154 1.4653 4.0373
-6.7647 4.3660 1.7902
! E_form (uncorrected)   -27.9 eV per formula unit

---

Record 12
! RbZnSCl2, relaxed, DFT PBE; values from VASP
&SYSTEM
  ibrav = 0, nat = 5, ntyp = 4
/
ATOMIC_SPECIES
S 32.06 S.upf
Rb 85.47 Rb.upf
Cl 35.45 Cl.upf
Zn 65.41 Zn.upf
ATOMIC_POSITIONS angstrom
S 0.0000 0.0000 2.3424
Rb 2.6205 2.6205 2.3424
Cl 0.0000 2.6205 0.0000
Cl 2.6205 0.0000 0.0000
Zn 0.0000 0.0000 0.0000
CELL_PARAMETERS angstrom
5.2410 0.0000 0.0000
0.0000 5.2410 0.0000
0.0000 0.0000 4.6848
! E_form (uncorrected)   -4.5 eV per formula unit
! E above lowest polymorph   0 meV per atom